Below is MnNiP2O7 after structural relaxation, with properties calculated at the GGA+U level.

a b c (Å): 5.3719 5.3719 4.5509
angles (deg): 97.76 97.76 104.22
Element x y z (fractional)
Mn  0.0000  0.0000  0.0000
Ni  0.3771  0.6229  0.0000
P  0.4857  0.0840  0.5914
P  0.9160  0.5143  0.4086
O  0.0669  0.6796  0.7116
O  0.0893  0.3994  0.2148
O  0.3204  0.9331  0.2884
O  0.3432  0.2523  0.7637
O  0.6006  0.9107  0.7852
O  0.7425  0.2575  0.5000
O  0.7477  0.6568  0.2363

Calculated values
As for the volume: 124 Å³/cell. The space group is C2, No. 5. The calculation puts the raw total energy at -0.259 Ha/atom. For the size of the total moment, the calculation gives 7.0 μB/cell.